(w)
Below is an optimized crystal structure of Li2CuAg2, with properties calculated at the PBE level.

The structure belongs to space group P4/mbm (No. 127); the cell edges are 7.160, 7.160 and 3.142 Å and the angles 90.00°, 90.00° and 90.00°. Symmetry generates all atoms from Li at (0.159, 0.341, 0.000), Cu at (0.000, 0.000, 0.500) and Ag at (0.142, 0.642, 0.500).

The calculation puts the total moment at 0.00 μB per formula unit.

=====

(x)
Below is an optimized crystal structure of Li2CuAg2, with properties calculated at the PBE level.

The structure belongs to space group C2/c (No. 15); the cell edges are 9.328, 4.923 and 7.438 Å and the angles 90.00°, 114.72° and 90.00°. Symmetry generates all atoms from Li at (0.098, 0.162, 0.453), Cu at (0.000, 0.345, 0.750) and Ag at (0.198, 0.348, 0.146).

The calculation puts the total moment at 0.00 μB per formula unit.

=====

(y)
Below is an optimized crystal structure of Li2CuAg2, with properties calculated at the PBE level.

The structure belongs to space group P4/mbm (No. 127); the cell edges are 7.000, 7.000 and 3.089 Å and the angles 90.00°, 90.00° and 90.00°. Symmetry generates all atoms from Li at (0.132, 0.368, 0.000), Cu at (0.000, 0.000, 0.000) and Ag at (0.169, 0.669, 0.500).

The calculation puts the total moment at 0.00 μB per formula unit.

=====

What should be chosen as the least stable of them? Choose (y).

=====

(w)
Below is an optimized crystal structure of Li2CuAg6, with properties calculated at the PBE level.

The structure belongs to space group C2/m (No. 12); the cell edges are 8.831, 4.135 and 8.473 Å and the angles 90.00°, 104.81° and 90.00°. Symmetry generates all atoms from Li at (0.168, 0.000, 0.221), Cu at (0.000, 0.500, 0.000), Ag at (0.001, 0.500, 0.321), Ag at (0.164, 0.000, 0.898) and Ag at (0.166, 0.000, 0.556).

The calculation puts the total moment at 0.00 μB per formula unit.

=====

(x)
Below is an optimized crystal structure of Li2CuAg6, with properties calculated at the PBE level.

The structure belongs to space group C2/m (No. 12); the cell edges are 14.356, 7.709 and 2.833 Å and the angles 90.00°, 99.26° and 90.00°. Symmetry generates all atoms from Li at (0.165, 0.000, 0.166), Cu at (0.000, 0.500, 0.500), Ag at (0.000, 0.190, 0.000) and Ag at (0.167, 0.316, 0.666).

The calculation puts the total moment at 0.00 μB per formula unit.

=====

What should be chosen as the least stable of them? Choose (x).

=====

(w)
Below is an optimized crystal structure of Li6Cu2Ag, with properties calculated at the PBE level.

The structure belongs to space group C2/m (No. 12); the cell edges are 7.497, 4.451 and 8.078 Å and the angles 90.00°, 93.20° and 90.00°. Symmetry generates all atoms from Li at (0.005, 0.000, 0.350), Li at (0.162, 0.500, 0.769), Li at (0.169, 0.500, 0.122), Cu at (0.169, 0.500, 0.459) and Ag at (0.000, 0.000, 0.000).

The calculation puts the total moment at 0.00 μB per formula unit.

=====

(x)
Below is an optimized crystal structure of Li6Cu2Ag, with properties calculated at the PBE level.

The structure belongs to space group R-3m (No. 166, hexagonal axes); the cell edges are 7.6427, 7.6427 and 7.8947 Å and the angles 90.00°, 90.00° and 120.00°. Symmetry generates all atoms from Li at (0.0000, 0.3319, 0.0000), Cu at (0.0000, 0.0000, 0.1577) and Ag at (0.0000, 0.0000, 0.5000).

The calculation puts the total moment at 0.00 μB per formula unit.

=====

What should be chosen as the least stable of them? Choose (x).

=====

(w)
Below is an optimized crystal structure of Li4CuAg2, with properties calculated at the PBE level.

The structure belongs to space group Cmmm (No. 65); the cell edges are 6.792, 8.475 and 4.194 Å and the angles 90.00°, 90.00° and 90.00°. Symmetry generates all atoms from Li at (0.201, 0.000, 0.000), Li at (0.250, 0.250, 0.500), Cu at (0.000, 0.500, 0.500) and Ag at (0.000, 0.296, 0.000).

The calculation puts the total moment at 0.00 μB per formula unit.

=====

(x)
Below is an optimized crystal structure of Li4CuAg2, with properties calculated at the PBE level.

The structure belongs to space group C2/m (No. 12); the cell edges are 13.972, 2.757 and 6.923 Å and the angles 90.00°, 119.29° and 90.00°. Symmetry generates all atoms from Li at (0.084, 0.000, 0.232), Li at (0.134, 0.500, 0.885), Cu at (0.000, 0.000, 0.500) and Ag at (0.223, 0.000, 0.662).

The calculation puts the total moment at 0.00 μB per formula unit.

=====

What should be chosen as the least stable of them? Choose (x).

=====

(w)
Below is an optimized crystal structure of SrLi2CuAg, with properties calculated at the PBE level.

The structure belongs to space group P4/mmm (No. 123); the cell edges are 4.805, 4.805 and 5.104 Å and the angles 90.00°, 90.00° and 90.00°. Symmetry generates all atoms from Sr at (0.000, 0.000, 0.000), Li at (0.000, 0.500, 0.500), Cu at (0.500, 0.500, 0.500) and Ag at (0.500, 0.500, 0.000).

The calculation puts the total moment at 0.00 μB per formula unit.

=====

(x)
Below is an optimized crystal structure of SrLi2CuAg, with properties calculated at the PBE level.

The structure belongs to space group P4/mmm (No. 123); the cell edges are 4.879, 4.879 and 5.089 Å and the angles 90.00°, 90.00° and 90.00°. Symmetry generates all atoms from Sr at (0.000, 0.000, 0.000), Li at (0.000, 0.500, 0.500), Cu at (0.500, 0.500, 0.000) and Ag at (0.500, 0.500, 0.500).

The calculation puts the total moment at 0.00 μB per formula unit.

=====

What should be chosen as the least stable of them? Choose (x).

=====

(w)
Below is an optimized crystal structure of LuCu2Ag, with properties calculated at the PBE level.

The structure belongs to space group P4/mmm (No. 123); the cell edges are 3.361, 3.361 and 6.082 Å and the angles 90.00°, 90.00° and 90.00°. Symmetry generates all atoms from Lu at (0.000, 0.000, 0.000), Cu at (0.500, 0.500, 0.277) and Ag at (0.000, 0.000, 0.500).

The calculation puts the total moment at 0.00 μB per formula unit.

=====

(x)
Below is an optimized crystal structure of LuCu2Ag, with properties calculated at the PBE level.

The structure belongs to space group Fm-3m (No. 225); the cell edges are 6.477, 6.477 and 6.477 Å and the angles 90.00°, 90.00° and 90.00°. Symmetry generates all atoms from Lu at (0.000, 0.000, 0.000), Cu at (0.250, 0.250, 0.250) and Ag at (0.000, 0.000, 0.500).

The calculation puts the total moment at 0.00 μB per formula unit.

=====

What should be chosen as the least stable of them? Choose (w).

=====

(w)
Below is an optimized crystal structure of Mg2CuAg2, with properties calculated at the PBE level.

The structure belongs to space group P4/mbm (No. 127); the cell edges are 6.895, 6.895 and 3.938 Å and the angles 90.00°, 90.00° and 90.00°. Symmetry generates all atoms from Mg at (0.164, 0.336, 0.000), Cu at (0.000, 0.000, 0.500) and Ag at (0.143, 0.643, 0.500).

The calculation puts the total moment at 0.00 μB per formula unit.

=====

(x)
Below is an optimized crystal structure of Mg2CuAg2, with properties calculated at the PBE level.

The structure belongs to space group P4/mbm (No. 127); the cell edges are 7.423, 7.423 and 3.354 Å and the angles 90.00°, 90.00° and 90.00°. Symmetry generates all atoms from Mg at (0.150, 0.350, 0.000), Cu at (0.000, 0.000, 0.000) and Ag at (0.148, 0.648, 0.500).

The calculation puts the total moment at 0.00 μB per formula unit.

=====

What should be chosen as the least stable of them? Choose (x).

=====

(w)
Below is an optimized crystal structure of MnCuAg2, with properties calculated at the PBE level.

The structure belongs to space group Pm (No. 6); the cell edges are 3.009, 3.040 and 6.911 Å and the angles 90.00°, 90.12° and 90.00°. Symmetry generates all atoms from Mn at (0.000, 0.000, 0.000), Cu at (0.500, 0.500, 0.204), Ag at (0.000, 0.000, 0.447) and Ag at (0.500, 0.500, 0.737).

The calculation puts the total moment at 3.95 μB per formula unit.

=====

(x)
Below is an optimized crystal structure of MnCuAg2, with properties calculated at the PBE level.

The structure belongs to space group I-42d (No. 122); the cell edges are 7.207, 7.207 and 5.412 Å and the angles 90.00°, 90.00° and 90.00°. Symmetry generates all atoms from Mn at (0.000, 0.000, 0.000), Cu at (0.000, 0.000, 0.500) and Ag at (0.235, 0.750, 0.625).

The calculation puts the total moment at 4.30 μB per formula unit.

=====

(y)
Below is an optimized crystal structure of MnCuAg2, with properties calculated at the PBE level.

The structure belongs to space group Cmmm (No. 65); the cell edges are 5.703, 7.782 and 2.866 Å and the angles 90.00°, 90.00° and 90.00°. Symmetry generates all atoms from Mn at (0.000, 0.000, 0.000), Cu at (0.000, 0.500, 0.000) and Ag at (0.250, 0.250, 0.500).

The calculation puts the total moment at 4.15 μB per formula unit.

=====

What should be chosen as the least stable of them? Choose (x).

=====

(w)
Below is an optimized crystal structure of MnCuAg2, with properties calculated at the PBE level.

The structure belongs to space group R-3m (No. 166, hexagonal axes); the cell edges are 2.8649, 2.8649 and 26.7633 Å and the angles 90.00°, 90.00° and 120.00°. Symmetry generates all atoms from Mn at (0.0000, 0.0000, 0.0000), Cu at (0.0000, 0.0000, 0.5000) and Ag at (0.0000, 0.0000, 0.2478).

The calculation puts the total moment at 3.80 μB per formula unit.

=====

(x)
Below is an optimized crystal structure of MnCuAg2, with properties calculated at the PBE level.

The structure belongs to space group Pmmm (No. 47); the cell edges are 3.015, 3.525 and 5.974 Å and the angles 90.00°, 90.00° and 90.00°. Symmetry generates all atoms from Mn at (0.000, 0.000, 0.000), Cu at (0.000, 0.000, 0.500) and Ag at (0.500, 0.500, 0.258).

The calculation puts the total moment at 4.15 μB per formula unit.

=====

(y)
Below is an optimized crystal structure of MnCuAg2, with properties calculated at the PBE level.

The structure belongs to space group I4/mmm (No. 139); the cell edges are 3.988, 3.988 and 7.953 Å and the angles 90.00°, 90.00° and 90.00°. Symmetry generates all atoms from Mn at (0.000, 0.000, 0.000), Cu at (0.000, 0.000, 0.500) and Ag at (0.000, 0.500, 0.250).

The calculation puts the total moment at 4.17 μB per formula unit.

=====

(z)
Below is an optimized crystal structure of MnCuAg2, with properties calculated at the PBE level.

The structure belongs to space group P4/mmm (No. 123); the cell edges are 2.949, 2.949 and 7.292 Å and the angles 90.00°, 90.00° and 90.00°. Symmetry generates all atoms from Mn at (0.000, 0.000, 0.000), Cu at (0.000, 0.000, 0.500) and Ag at (0.500, 0.500, 0.260).

The calculation puts the total moment at 4.02 μB per formula unit.

=====

What should be chosen as the least stable of them? Choose (w).

=====

(w)
Below is an optimized crystal structure of MnCuAg2, with properties calculated at the PBE level.

The structure belongs to space group F-43m (No. 216); the cell edges are 6.337, 6.337 and 6.337 Å and the angles 90.00°, 90.00° and 90.00°. Symmetry generates all atoms from Mn at (0.000, 0.000, 0.000), Cu at (0.250, 0.250, 0.750), Ag at (0.000, 0.000, 0.500) and Ag at (0.250, 0.250, 0.250).

The calculation puts the total moment at 3.98 μB per formula unit.

=====

(x)
Below is an optimized crystal structure of MnCuAg2, with properties calculated at the PBE level.

The structure belongs to space group I-4m2 (No. 119); the cell edges are 3.964, 3.964 and 8.035 Å and the angles 90.00°, 90.00° and 90.00°. Symmetry generates all atoms from Mn at (0.000, 0.000, 0.000), Cu at (0.000, 0.500, 0.250), Ag at (0.000, 0.000, 0.500) and Ag at (0.000, 0.500, 0.750).

The calculation puts the total moment at 4.16 μB per formula unit.

=====

What should be chosen as the least stable of them? Choose (w).

=====

(w)
Below is an optimized crystal structure of MnCuAg2, with properties calculated at the PBE level.

The structure belongs to space group Fm-3m (No. 225); the cell edges are 6.327, 6.327 and 6.327 Å and the angles 90.00°, 90.00° and 90.00°. Symmetry generates all atoms from Mn at (0.000, 0.000, 0.000), Cu at (0.000, 0.000, 0.500) and Ag at (0.250, 0.250, 0.250).

The calculation puts the total moment at 4.03 μB per formula unit.

=====

(x)
Below is an optimized crystal structure of MnCuAg2, with properties calculated at the PBE level.

The structure belongs to space group C2/m (No. 12); the cell edges are 9.266, 2.915 and 4.805 Å and the angles 90.00°, 101.62° and 90.00°. Symmetry generates all atoms from Mn at (0.000, 0.000, 0.000), Cu at (0.000, 0.500, 0.500) and Ag at (0.247, 0.000, 0.747).

The calculation puts the total moment at 4.05 μB per formula unit.

=====

What should be chosen as the least stable of them? Choose (w).